# EuCuW2O8, relaxed, DFT PBE with a Hubbard U
data_EuCuW2O8
_space_group_name_H-M_alt 'P 1'
_space_group_IT_number 1
_cell_length_a 5.063
_cell_length_b 6.155
_cell_length_c 6.350
_cell_angle_alpha 108.60
_cell_angle_beta 91.86
_cell_angle_gamma 114.24
loop_
_space_group_symop_operation_xyz
'x,y,z'
loop_
_atom_site_label
_atom_site_type_symbol
_atom_site_fract_x
_atom_site_fract_y
_atom_site_fract_z
Eu1 Eu 0.000 0.000 0.000
Cu1 Cu 0.498 0.999 0.499
W1 W 0.239 0.478 0.660
W2 W 0.761 0.522 0.340
O1 O 0.024 0.772 0.254
O2 O 0.037 0.691 0.667
O3 O 0.465 0.298 0.517
O4 O 0.491 0.705 0.922
O5 O 0.509 0.295 0.077
O6 O 0.534 0.702 0.483
O7 O 0.962 0.309 0.333
O8 O 0.976 0.228 0.747
# magnetization = 5.993 μB/cell
# total DFT energy (no corrections) = -92.49 eV for the cell shown